(1)
Entry from the Alexandria database: an optimized crystal structure of ScFeI2O (GGA+U).

Calculated values
* relative energy among the computed polymorphs: 0 meV per atom
* crystal system: tetragonal
* E_tot: -4.89 eV per atom
* magnetic moment: 3.20 μB/f.u.

abc: 5.9147 5.9147 3.8725
angles: 90.00 90.00 90.00
Fractional coordinates of all 5 atoms:
Sc: 0.0000 0.0000 0.0000
Fe: 0.5000 0.5000 0.5000
I: 0.0000 0.5000 0.0000
I: 0.5000 0.0000 0.0000
O: 0.0000 0.0000 0.5000



(2)
Entry from the Alexandria database: an optimized crystal structure of ScFeIO2 (GGA+U).

Calculated values
* relative energy among the computed polymorphs: 503 meV per atom
* crystal system: tetragonal
* E_tot: -5.29 eV per atom
* magnetic moment: 4.09 μB/f.u.

abc: 4.0042 4.0042 5.3497
angles: 90.00 90.00 90.00
Fractional coordinates of all 5 atoms:
Sc: 0.0000 0.0000 0.0000
Fe: 0.5000 0.5000 0.5000
I: 0.5000 0.5000 0.0000
O: 0.0000 0.5000 0.5000
O: 0.5000 0.0000 0.5000



(3)
Entry from the Alexandria database: an optimized crystal structure of ScFeI2O (GGA+U).

Calculated values
* relative energy among the computed polymorphs: 336 meV per atom
* crystal system: tetragonal
* E_tot: -4.56 eV per atom
* magnetic moment: 4.75 μB/f.u.

abc: 5.6843 5.6843 3.7218
angles: 90.00 90.00 90.00
Fractional coordinates of all 5 atoms:
Sc: 0.0000 0.0000 0.0000
Fe: 0.5000 0.5000 0.5000
I: 0.0000 0.5000 0.5000
I: 0.5000 0.0000 0.5000
O: 0.5000 0.5000 0.0000



(4)
Entry from the Alexandria database: an optimized crystal structure of ScFeIO2 (GGA+U).

Calculated values
* relative energy among the computed polymorphs: 0 meV per atom
* crystal system: tetragonal
* E_tot: -5.79 eV per atom
* magnetic moment: 4.62 μB/f.u.

abc: 4.0785 4.0785 5.8995
angles: 90.00 90.00 90.00
Fractional coordinates of all 5 atoms:
Sc: 0.0000 0.0000 0.0000
Fe: 0.5000 0.5000 0.5000
I: 0.0000 0.0000 0.5000
O: 0.0000 0.5000 0.0000
O: 0.5000 0.0000 0.0000



(5)
Entry from the Alexandria database: an optimized crystal structure of FeSnI2O (GGA+U).

Calculated values
* relative energy among the computed polymorphs: 0 meV per atom
* crystal system: tetragonal
* E_tot: -3.93 eV per atom
* magnetic moment: 3.72 μB/f.u.

abc: 5.8315 5.8315 3.7622
angles: 90.00 90.00 90.00
Fractional coordinates of all 5 atoms:
Fe: 0.0000 0.0000 0.0000
Sn: 0.5000 0.5000 0.5000
I: 0.0000 0.5000 0.0000
I: 0.5000 0.0000 0.0000
O: 0.0000 0.0000 0.5000



(6)
Entry from the Alexandria database: an optimized crystal structure of FeSnIO2 (GGA+U).

Calculated values
* relative energy among the computed polymorphs: 0 meV per atom
* crystal system: tetragonal
* E_tot: -4.47 eV per atom
* magnetic moment: 4.02 μB/f.u.

abc: 4.0710 4.0710 6.4830
angles: 90.00 90.00 90.00
Fractional coordinates of all 5 atoms:
Fe: 0.0000 0.0000 0.0000
Sn: 0.5000 0.5000 0.5000
I: 0.5000 0.5000 0.0000
O: 0.0000 0.5000 0.5000
O: 0.5000 0.0000 0.5000



(7)
Entry from the Alexandria database: an optimized crystal structure of FeSnI2O (GGA+U).

Calculated values
* relative energy among the computed polymorphs: 425 meV per atom
* crystal system: tetragonal
* E_tot: -3.50 eV per atom
* magnetic moment: 4.90 μB/f.u.

abc: 6.5342 6.5342 4.1794
angles: 90.00 90.00 90.00
Fractional coordinates of all 5 atoms:
Fe: 0.0000 0.0000 0.0000
Sn: 0.5000 0.5000 0.5000
I: 0.0000 0.5000 0.5000
I: 0.5000 0.0000 0.5000
O: 0.5000 0.5000 0.0000



(8)
Entry from the Alexandria database: an optimized crystal structure of FeSnIO2 (GGA+U).

Calculated values
* relative energy among the computed polymorphs: 56 meV per atom
* crystal system: tetragonal
* E_tot: -4.41 eV per atom
* magnetic moment: 4.97 μB/f.u.

abc: 4.1907 4.1907 5.3941
angles: 90.00 90.00 90.00
Fractional coordinates of all 5 atoms:
Fe: 0.0000 0.0000 0.0000
Sn: 0.5000 0.5000 0.5000
I: 0.0000 0.0000 0.5000
O: 0.0000 0.5000 0.0000
O: 0.5000 0.0000 0.0000



(9)
Entry from the Alexandria database: an optimized crystal structure of SrFeIO2 (GGA+U).

Calculated values
* relative energy among the computed polymorphs: 0 meV per atom
* crystal system: tetragonal
* E_tot: -4.70 eV per atom
* magnetic moment: 4.98 μB/f.u.

abc: 4.2802 4.2802 5.3198
angles: 90.00 90.00 90.00
Fractional coordinates of all 5 atoms:
Sr: 0.0000 0.0000 0.0000
Fe: 0.5000 0.5000 0.5000
I: 0.5000 0.5000 0.0000
O: 0.0000 0.5000 0.5000
O: 0.5000 0.0000 0.5000



(10)
Entry from the Alexandria database: an optimized crystal structure of SrFeIO2 (GGA+U).

Calculated values
* relative energy among the computed polymorphs: 702 meV per atom
* crystal system: tetragonal
* E_tot: -4.00 eV per atom
* magnetic moment: 5.93 μB/f.u.

abc: 4.5721 4.5721 6.5844
angles: 90.00 90.00 90.00
Fractional coordinates of all 5 atoms:
Sr: 0.0000 0.0000 0.0000
Fe: 0.5000 0.5000 0.5000
I: 0.0000 0.0000 0.5000
O: 0.0000 0.5000 0.0000
O: 0.5000 0.0000 0.0000



(11)
Entry from the Alexandria database: an optimized crystal structure of TaFeIO2 (GGA+U).

Calculated values
* relative energy among the computed polymorphs: 1406 meV per atom
* crystal system: tetragonal
* E_tot: -5.38 eV per atom
* magnetic moment: 6.23 μB/f.u.

abc: 3.9587 3.9587 5.4067
angles: 90.00 90.00 90.00
Fractional coordinates of all 5 atoms:
Ta: 0.0000 0.0000 0.0000
Fe: 0.5000 0.5000 0.5000
I: 0.5000 0.5000 0.0000
O: 0.0000 0.5000 0.5000
O: 0.5000 0.0000 0.5000



(12)
Entry from the Alexandria database: an optimized crystal structure of TaFeIO2 (GGA+U).

Calculated values
* relative energy among the computed polymorphs: 0 meV per atom
* crystal system: tetragonal
* E_tot: -6.79 eV per atom
* magnetic moment: 2.99 μB/f.u.

abc: 3.9453 3.9453 6.1605
angles: 90.00 90.00 90.00
Fractional coordinates of all 5 atoms:
Ta: 0.0000 0.0000 0.0000
Fe: 0.5000 0.5000 0.5000
I: 0.0000 0.0000 0.5000
O: 0.0000 0.5000 0.0000
O: 0.5000 0.0000 0.0000



(13)
Entry from the Alexandria database: an optimized crystal structure of FeTeI2O (GGA+U).

Calculated values
* relative energy among the computed polymorphs: 311 meV per atom
* crystal system: tetragonal
* E_tot: -3.17 eV per atom
* magnetic moment: 4.83 μB/f.u.

abc: 6.2446 6.2446 4.0893
angles: 90.00 90.00 90.00
Fractional coordinates of all 5 atoms:
Fe: 0.0000 0.0000 0.0000
Te: 0.5000 0.5000 0.5000
I: 0.0000 0.5000 0.5000
I: 0.5000 0.0000 0.5000
O: 0.5000 0.5000 0.0000



(14)
Entry from the Alexandria database: an optimized crystal structure of FeTeI2O (GGA+U).

Calculated values
* relative energy among the computed polymorphs: 0 meV per atom
* crystal system: tetragonal
* E_tot: -3.48 eV per atom
* magnetic moment: 3.64 μB/f.u.

abc: 5.8014 5.8014 3.7084
angles: 90.00 90.00 90.00
Fractional coordinates of all 5 atoms:
Fe: 0.0000 0.0000 0.0000
Te: 0.5000 0.5000 0.5000
I: 0.0000 0.5000 0.0000
I: 0.5000 0.0000 0.0000
O: 0.0000 0.0000 0.5000



(15)
Entry from the Alexandria database: an optimized crystal structure of FeTeI2O (GGA+U).

Calculated values
* relative energy among the computed polymorphs: 934 meV per atom
* crystal system: tetragonal
* E_tot: -2.55 eV per atom
* magnetic moment: 6.02 μB/f.u.

abc: 5.5397 5.5397 5.3640
angles: 90.00 90.00 90.00
Fractional coordinates of all 5 atoms:
Fe: 0.0000 0.0000 0.0000
Te: 0.0000 0.0000 0.5000
I: 0.0000 0.5000 0.0000
I: 0.5000 0.0000 0.0000
O: 0.5000 0.5000 0.5000



(16)
Entry from the Alexandria database: an optimized crystal structure of FeTeI2O (GGA+U).

Calculated values
* relative energy among the computed polymorphs: 627 meV per atom
* crystal system: tetragonal
* E_tot: -2.86 eV per atom
* magnetic moment: 4.12 μB/f.u.

abc: 5.2408 5.2408 4.6233
angles: 90.00 90.00 90.00
Fractional coordinates of all 5 atoms:
Fe: 0.0000 0.0000 0.0000
Te: 0.5000 0.5000 0.0000
I: 0.0000 0.5000 0.5000
I: 0.5000 0.0000 0.5000
O: 0.5000 0.5000 0.5000



(17)
Entry from the Alexandria database: an optimized crystal structure of FeTe2IO (GGA+U).

Calculated values
* relative energy among the computed polymorphs: 731 meV per atom
* crystal system: tetragonal
* E_tot: -2.64 eV per atom
* magnetic moment: 4.09 μB/f.u.

abc: 5.2066 5.2066 5.3119
angles: 90.00 90.00 90.00
Fractional coordinates of all 5 atoms:
Fe: 0.0000 0.0000 0.0000
Te: 0.0000 0.5000 0.0000
Te: 0.5000 0.0000 0.0000
I: 0.0000 0.0000 0.5000
O: 0.5000 0.5000 0.5000



(18)
Entry from the Alexandria database: an optimized crystal structure of FeTe2IO (GGA+U).

Calculated values
* relative energy among the computed polymorphs: 0 meV per atom
* crystal system: tetragonal
* E_tot: -3.37 eV per atom
* magnetic moment: 4.11 μB/f.u.

abc: 4.4715 4.4715 6.7717
angles: 90.00 90.00 90.00
Fractional coordinates of all 5 atoms:
Fe: 0.0000 0.0000 0.0000
Te: 0.0000 0.5000 0.5000
Te: 0.5000 0.0000 0.5000
I: 0.5000 0.5000 0.0000
O: 0.5000 0.5000 0.5000



(19)
Entry from the Alexandria database: an optimized crystal structure of TiFeIO2 (GGA+U).

Calculated values
* relative energy among the computed polymorphs: 0 meV per atom
* crystal system: tetragonal
* E_tot: -6.06 eV per atom
* magnetic moment: 3.64 μB/f.u.

abc: 3.8954 3.8954 5.8429
angles: 90.00 90.00 90.00
Fractional coordinates of all 5 atoms:
Ti: 0.0000 0.0000 0.0000
Fe: 0.5000 0.5000 0.5000
I: 0.0000 0.0000 0.5000
O: 0.0000 0.5000 0.0000
O: 0.5000 0.0000 0.0000



(20)
Entry from the Alexandria database: an optimized crystal structure of TiFeI2O (GGA+U).

Calculated values
* relative energy among the computed polymorphs: 562 meV per atom
* crystal system: tetragonal
* E_tot: -4.42 eV per atom
* magnetic moment: 4.36 μB/f.u.

abc: 5.6209 5.6209 3.6843
angles: 90.00 90.00 90.00
Fractional coordinates of all 5 atoms:
Ti: 0.0000 0.0000 0.0000
Fe: 0.5000 0.5000 0.5000
I: 0.0000 0.5000 0.5000
I: 0.5000 0.0000 0.5000
O: 0.5000 0.5000 0.0000



(21)
Entry from the Alexandria database: an optimized crystal structure of TiFeI2O (GGA+U).

Calculated values
* relative energy among the computed polymorphs: 0 meV per atom
* crystal system: tetragonal
* E_tot: -4.98 eV per atom
* magnetic moment: 4.02 μB/f.u.

abc: 5.7046 5.7046 3.7433
angles: 90.00 90.00 90.00
Fractional coordinates of all 5 atoms:
Ti: 0.0000 0.0000 0.0000
Fe: 0.5000 0.5000 0.5000
I: 0.0000 0.5000 0.0000
I: 0.5000 0.0000 0.0000
O: 0.0000 0.0000 0.5000



(22)
Entry from the Alexandria database: an optimized crystal structure of TiFeIO2 (GGA+U).

Calculated values
* relative energy among the computed polymorphs: 822 meV per atom
* crystal system: tetragonal
* E_tot: -5.24 eV per atom
* magnetic moment: 2.61 μB/f.u.

abc: 3.9335 3.9335 5.5526
angles: 90.00 90.00 90.00
Fractional coordinates of all 5 atoms:
Ti: 0.0000 0.0000 0.0000
Fe: 0.5000 0.5000 0.5000
I: 0.5000 0.5000 0.0000
O: 0.0000 0.5000 0.5000
O: 0.5000 0.0000 0.5000



(23)
Entry from the Alexandria database: an optimized crystal structure of Tl3FeI2O9 (GGA+U).

Calculated values
* crystal system: trigonal
* E_tot: -4.50 eV per atom
* magnetic moment: 4.24 μB/f.u.

abc: 5.8450 5.8450 7.1594
angles: 90.00 90.00 120.00
Fractional coordinates of all 15 atoms:
Tl: 0.0000 0.0000 0.0000
Tl: 0.3333 0.6667 0.6756
Tl: 0.6667 0.3333 0.3244
Fe: 0.0000 0.0000 0.5000
I: 0.3333 0.6667 0.1829
I: 0.6667 0.3333 0.8171
O: 0.0000 0.5000 0.0000
O: 0.1720 0.3441 0.3340
O: 0.1720 0.8280 0.3340
O: 0.3441 0.1720 0.6660
O: 0.5000 0.0000 0.0000
O: 0.5000 0.5000 0.0000
O: 0.6559 0.8280 0.3340
O: 0.8280 0.1720 0.6660
O: 0.8280 0.6559 0.6660



(24)
Entry from the Alexandria database: an optimized crystal structure of VFeIO2 (GGA+U).

Calculated values
* relative energy among the computed polymorphs: 383 meV per atom
* crystal system: tetragonal
* E_tot: -5.08 eV per atom
* magnetic moment: 8.47 μB/f.u.

abc: 3.9503 3.9503 5.7221
angles: 90.00 90.00 90.00
Fractional coordinates of all 5 atoms:
V: 0.0000 0.0000 0.0000
Fe: 0.5000 0.5000 0.5000
I: 0.5000 0.5000 0.0000
O: 0.0000 0.5000 0.5000
O: 0.5000 0.0000 0.5000



(25)
Entry from the Alexandria database: an optimized crystal structure of VFeIO2 (GGA+U).

Calculated values
* relative energy among the computed polymorphs: 0 meV per atom
* crystal system: tetragonal
* E_tot: -5.47 eV per atom
* magnetic moment: 4.22 μB/f.u.

abc: 3.8759 3.8759 5.6777
angles: 90.00 90.00 90.00
Fractional coordinates of all 5 atoms:
V: 0.0000 0.0000 0.0000
Fe: 0.5000 0.5000 0.5000
I: 0.0000 0.0000 0.5000
O: 0.0000 0.5000 0.0000
O: 0.5000 0.0000 0.0000



(26)
Entry from the Alexandria database: an optimized crystal structure of FeWI2O (GGA+U).

Calculated values
* relative energy among the computed polymorphs: 280 meV per atom
* crystal system: tetragonal
* E_tot: -3.90 eV per atom
* magnetic moment: 7.95 μB/f.u.

abc: 5.6685 5.6685 3.7098
angles: 90.00 90.00 90.00
Fractional coordinates of all 5 atoms:
Fe: 0.0000 0.0000 0.0000
W: 0.5000 0.5000 0.5000
I: 0.0000 0.5000 0.0000
I: 0.5000 0.0000 0.0000
O: 0.0000 0.0000 0.5000



(27)
Entry from the Alexandria database: an optimized crystal structure of FeWIO2 (GGA+U).

Calculated values
* crystal system: tetragonal
* E_tot: -4.57 eV per atom
* magnetic moment: 8.62 μB/f.u.

abc: 4.0588 4.0588 5.4363
angles: 90.00 90.00 90.00
Fractional coordinates of all 5 atoms:
Fe: 0.0000 0.0000 0.0000
W: 0.5000 0.5000 0.5000
I: 0.0000 0.0000 0.5000
O: 0.0000 0.5000 0.0000
O: 0.5000 0.0000 0.0000



(28)
Entry from the Alexandria database: an optimized crystal structure of FeWI2O (GGA+U).

Calculated values
* relative energy among the computed polymorphs: 0 meV per atom
* crystal system: tetragonal
* E_tot: -4.18 eV per atom
* magnetic moment: 7.47 μB/f.u.

abc: 6.0276 6.0276 3.8974
angles: 90.00 90.00 90.00
Fractional coordinates of all 5 atoms:
Fe: 0.0000 0.0000 0.0000
W: 0.5000 0.5000 0.5000
I: 0.0000 0.5000 0.5000
I: 0.5000 0.0000 0.5000
O: 0.5000 0.5000 0.0000